(1)
PmNd2NpS4: relaxed, PBE.

Cell lengths 6.966, 4.015, 6.978 Å; angles 90.00, 109.34, 90.00 degrees
Sites, in units of the cell vectors:
Pm (0.000, 0.000, 0.000)
Nd (0.000, 0.500, 0.500)
Nd (0.500, 0.000, 0.500)
Np (0.500, 0.500, 0.000)
S (0.252, 0.500, 0.244)
S (0.258, 0.000, 0.760)
S (0.742, 0.000, 0.240)
S (0.748, 0.500, 0.756)

Values from the calculation:
- E_tot (eV per atom) = -7.3278
- uncorrected formation energy (eV per atom) = -1.861

(2)
ErSc3: relaxed, PBE.

Cell lengths 5.286, 5.286, 5.286 Å; angles 60.00, 60.00, 60.00 degrees
Sites, in units of the cell vectors:
Er (0.000, 0.000, 0.000)
Sc (0.250, 0.250, 0.250)
Sc (0.500, 0.500, 0.500)
Sc (0.750, 0.750, 0.750)

Values from the calculation:
- E_tot (eV per atom) = -5.7742

(3)
K2AcCd: relaxed, PBE.

Cell lengths 13.895, 13.895, 13.895 Å; angles 16.30, 16.30, 16.30 degrees
Sites, in units of the cell vectors:
K (0.096, 0.096, 0.096)
K (0.904, 0.904, 0.904)
Ac (0.000, 0.000, 0.000)
Cd (0.500, 0.500, 0.500)

Values from the calculation:
- E_tot (eV per atom) = -1.5808